(1)
Li2CuTc | PBE | optimized geometry

Calculated values
**Formation energy from the elements**: 87 kJ/mol of formula units
**Total magnetic moment**: 0.83 μB/cell
**VASP energy**: -17.39 eV for the cell shown

The structure in CIF format:
```
data_Li2CuTc
_cell_length_a 2.481
_cell_length_b 4.169
_cell_length_c 5.372
_cell_angle_alpha 90.00
_cell_angle_beta 90.00
_cell_angle_gamma 90.00
_space_group_name_H-M_alt 'P m m 2'
_space_group_IT_number 25
loop_
_space_group_symop_operation_xyz
'x,y,z'
'-x,-y,z'
'-x,y,z'
'x,-y,z'
loop_
_atom_site_label
_atom_site_type_symbol
_atom_site_fract_x
_atom_site_fract_y
_atom_site_fract_z
Li1 Li 0.000 0.000 0.000
Li2 Li 0.500 0.500 0.240
Cu1 Cu 0.500 0.500 0.716
Tc1 Tc 0.000 0.000 0.517
```

---

(2)
In3Te | PBE | optimized geometry

Calculated values
**E_form (uncorrected)**: -0.63 kcal/mol of atoms
**Total magnetic moment**: 0.00 μB/cell
**VASP energy**: -45.86 eV for the cell shown

The structure in CIF format:
```
data_In3Te
_cell_length_a 8.858
_cell_length_b 8.736
_cell_length_c 6.157
_cell_angle_alpha 90.00
_cell_angle_beta 90.00
_cell_angle_gamma 90.00
_space_group_name_H-M_alt 'C m c m'
_space_group_IT_number 63
_space_group_name_Hall '-C 2c 2'
loop_
_atom_site_label
_atom_site_type_symbol
_atom_site_fract_x
_atom_site_fract_y
_atom_site_fract_z
In1 In 0.000 0.080 0.250
In2 In 0.212 0.213 0.750
Te1 Te 0.000 0.498 0.750
```

---

(3)
K2Rb2RhO4 | PBE | optimized geometry

Calculated values
**E_form (uncorrected)**: -20.40 kcal/mol of atoms
**Total magnetic moment**: 6.05 μB/cell
**VASP energy**: -78.55 eV for the cell shown

The structure in CIF format:
```
data_K2Rb2RhO4
_cell_length_a 6.413
_cell_length_b 6.413
_cell_length_c 8.738
_cell_angle_alpha 90.00
_cell_angle_beta 90.00
_cell_angle_gamma 90.00
_space_group_name_H-M_alt 'I 4/m m m'
_space_group_IT_number 139
_space_group_name_Hall '-I 4 2'
loop_
_atom_site_label
_atom_site_type_symbol
_atom_site_fract_x
_atom_site_fract_y
_atom_site_fract_z
K1 K 0.000 0.500 0.250
Rb1 Rb 0.000 0.000 0.163
Rh1 Rh 0.000 0.000 0.500
O1 O 0.216 0.216 0.500
```

---

(4)
GeP2PbCl | PBE | optimized geometry

Calculated values
**E_form (uncorrected)**: 7.24 kcal/mol of atoms
**Total magnetic moment**: 0.00 μB/cell
**VASP energy**: -19.42 eV for the cell shown

The structure in CIF format:
```
data_GeP2PbCl
_cell_length_a 4.788
_cell_length_b 4.788
_cell_length_c 5.101
_cell_angle_alpha 90.00
_cell_angle_beta 90.00
_cell_angle_gamma 90.00
_space_group_name_H-M_alt 'P 4/m m m'
_space_group_IT_number 123
_space_group_name_Hall '-P 4 2'
loop_
_atom_site_label
_atom_site_type_symbol
_atom_site_fract_x
_atom_site_fract_y
_atom_site_fract_z
Ge1 Ge 0.000 0.000 0.000
P1 P 0.000 0.500 0.000
Pb1 Pb 0.500 0.500 0.500
Cl1 Cl 0.000 0.000 0.500
```

---

(5)
Sc2CrAs | PBE | optimized geometry

Calculated values
**Formation energy from the elements**: -86 kJ/mol of formula units
**Total magnetic moment**: 3.27 μB/cell
**VASP energy**: -27.83 eV for the cell shown

The structure in CIF format:
```
data_Sc2CrAs
_cell_length_a 3.746
_cell_length_b 3.746
_cell_length_c 5.650
_cell_angle_alpha 90.00
_cell_angle_beta 90.00
_cell_angle_gamma 90.00
_space_group_name_H-M_alt 'P 4 m m'
_space_group_IT_number 99
loop_
_space_group_symop_operation_xyz
'x,y,z'
'-y,x,z'
'-x,-y,z'
'y,-x,z'
'-x,y,z'
'y,x,z'
'x,-y,z'
'-y,-x,z'
loop_
_atom_site_label
_atom_site_type_symbol
_atom_site_fract_x
_atom_site_fract_y
_atom_site_fract_z
Sc1 Sc 0.000 0.000 0.000
Sc2 Sc 0.500 0.500 0.314
Cr1 Cr 0.500 0.500 0.803
As1 As 0.000 0.000 0.503
```

---

(6)
Ho8Er2Hg | PBE | optimized geometry

Calculated values
**Formation energy from the elements**: -54 kJ/mol of formula units
**Total magnetic moment**: 0.00 μB/cell
**VASP energy**: -93.22 eV for the cell shown

The structure in CIF format:
```
data_Ho8Er2Hg
_cell_length_a 19.164
_cell_length_b 5.505
_cell_length_c 6.325
_cell_angle_alpha 90.00
_cell_angle_beta 95.27
_cell_angle_gamma 90.00
_space_group_name_H-M_alt 'C 1 2/m 1'
_space_group_IT_number 12
loop_
_space_group_symop_operation_xyz
'x,y,z'
'-x,-y,-z'
'-x,y,-z'
'x,-y,z'
'x+1/2,y+1/2,z'
'-x+1/2,-y+1/2,-z'
'-x+1/2,y+1/2,-z'
'x+1/2,-y+1/2,z'
loop_
_atom_site_label
_atom_site_type_symbol
_atom_site_fract_x
_atom_site_fract_y
_atom_site_fract_z
Ho1 Ho 0.044 0.000 0.265
Ho2 Ho 0.078 0.500 0.602
Ho3 Ho 0.156 0.000 0.799
Ho4 Ho 0.159 0.500 0.123
Er1 Er 0.243 0.000 0.332
Hg1 Hg 0.000 0.500 0.000
```

---

(7)
CaPaTl2 | PBE | optimized geometry

Calculated values
**Formation energy from the elements**: 25 kJ/mol of formula units
**Total magnetic moment**: 4.36 μB/cell
**VASP energy**: -63.89 eV for the cell shown

The structure in CIF format:
```
data_CaPaTl2
_cell_length_a 7.680
_cell_length_b 7.680
_cell_length_c 7.680
_cell_angle_alpha 90.00
_cell_angle_beta 90.00
_cell_angle_gamma 90.00
_space_group_name_H-M_alt 'F m -3 m'
_space_group_IT_number 225
_space_group_name_Hall '-F 4 2 3'
loop_
_atom_site_label
_atom_site_type_symbol
_atom_site_fract_x
_atom_site_fract_y
_atom_site_fract_z
Ca1 Ca 0.000 0.000 0.000
Pa1 Pa 0.000 0.000 0.500
Tl1 Tl 0.250 0.250 0.250
```

---

(8)
MgNbCr | PBE | optimized geometry

Calculated values
**Formation energy from the elements**: 72 kJ/mol of formula units
**Total magnetic moment**: 0.00 μB/cell
**VASP energy**: -41.08 eV for the cell shown

The structure in CIF format:
```
data_MgNbCr
_cell_length_a 2.834
_cell_length_b 4.908
_cell_length_c 7.601
_cell_angle_alpha 79.77
_cell_angle_beta 82.43
_cell_angle_gamma 82.30
_space_group_name_H-M_alt 'P -1'
_space_group_IT_number 2
loop_
_space_group_symop_operation_xyz
'x,y,z'
'-x,-y,-z'
loop_
_atom_site_label
_atom_site_type_symbol
_atom_site_fract_x
_atom_site_fract_y
_atom_site_fract_z
Mg1 Mg 0.219 0.232 0.068
Nb1 Nb 0.179 0.661 0.332
Cr1 Cr 0.369 0.853 0.605
```

---

(9)
Tb2TmRu | PBE | optimized geometry

Calculated values
**Formation energy from the elements**: -119 kJ/mol of formula units
**Total magnetic moment**: 0.00 μB/cell
**VASP energy**: -96.95 eV for the cell shown

The structure in CIF format:
```
data_Tb2TmRu
_cell_length_a 3.935
_cell_length_b 11.788
_cell_length_c 9.076
_cell_angle_alpha 90.00
_cell_angle_beta 90.00
_cell_angle_gamma 90.00
_space_group_name_H-M_alt 'C m c m'
_space_group_IT_number 63
_space_group_name_Hall '-C 2c 2'
loop_
_atom_site_label
_atom_site_type_symbol
_atom_site_fract_x
_atom_site_fract_y
_atom_site_fract_z
Tb1 Tb 0.000 0.142 0.067
Tm1 Tm 0.000 0.423 0.250
Ru1 Ru 0.000 0.241 0.750
```

---

(10)
HgBPd2 | PBE | optimized geometry

Calculated values
**Formation energy from the elements**: 1 kJ/mol of formula units
**Total magnetic moment**: 0.00 μB/cell
**VASP energy**: -69.42 eV for the cell shown

The structure in CIF format:
```
data_HgBPd2
_cell_length_a 6.642
_cell_length_b 6.642
_cell_length_c 5.633
_cell_angle_alpha 90.00
_cell_angle_beta 90.00
_cell_angle_gamma 90.00
_space_group_name_H-M_alt 'I -4 2 d'
_space_group_IT_number 122
_space_group_name_Hall 'I -4 2bw'
loop_
_atom_site_label
_atom_site_type_symbol
_atom_site_fract_x
_atom_site_fract_y
_atom_site_fract_z
Hg1 Hg 0.000 0.000 0.000
B1 B 0.000 0.000 0.500
Pd1 Pd 0.153 0.250 0.625
```

---

(11)
SiNi2Hg | PBE | optimized geometry

Calculated values
**E_form (uncorrected)**: 2.35 kcal/mol of atoms
**Total magnetic moment**: 0.00 μB/cell
**VASP energy**: -67.52 eV for the cell shown

The structure in CIF format:
```
data_SiNi2Hg
_cell_length_a 6.034
_cell_length_b 6.034
_cell_length_c 6.034
_cell_angle_alpha 90.00
_cell_angle_beta 90.00
_cell_angle_gamma 90.00
_space_group_name_H-M_alt 'F m -3 m'
_space_group_IT_number 225
_space_group_name_Hall '-F 4 2 3'
loop_
_atom_site_label
_atom_site_type_symbol
_atom_site_fract_x
_atom_site_fract_y
_atom_site_fract_z
Si1 Si 0.000 0.000 0.000
Ni1 Ni 0.250 0.250 0.250
Hg1 Hg 0.000 0.000 0.500
```

---

(12)
ErUTc | PBE | optimized geometry

Calculated values
**Formation energy from the elements**: 67 kJ/mol of formula units
**Total magnetic moment**: 0.00 μB/cell
**VASP energy**: -102.09 eV for the cell shown

The structure in CIF format:
```
data_ErUTc
_cell_length_a 3.462
_cell_length_b 3.462
_cell_length_c 23.831
_cell_angle_alpha 90.00
_cell_angle_beta 90.00
_cell_angle_gamma 90.00
_space_group_name_H-M_alt 'I 4/m m m'
_space_group_IT_number 139
_space_group_name_Hall '-I 4 2'
loop_
_atom_site_label
_atom_site_type_symbol
_atom_site_fract_x
_atom_site_fract_y
_atom_site_fract_z
Er1 Er 0.000 0.000 0.075
U1 U 0.000 0.000 0.337
Tc1 Tc 0.000 0.000 0.206
```

---

(13)
NiMoOs2 | PBE | optimized geometry

Calculated values
**Formation energy from the elements**: 29 kJ/mol of formula units
**Total magnetic moment**: 0.00 μB/cell
**VASP energy**: -77.54 eV for the cell shown

The structure in CIF format:
```
data_NiMoOs2
_cell_length_a 3.854
_cell_length_b 3.854
_cell_length_c 7.526
_cell_angle_alpha 90.00
_cell_angle_beta 90.00
_cell_angle_gamma 90.00
_space_group_name_H-M_alt 'I 4/m m m'
_space_group_IT_number 139
_space_group_name_Hall '-I 4 2'
loop_
_atom_site_label
_atom_site_type_symbol
_atom_site_fract_x
_atom_site_fract_y
_atom_site_fract_z
Ni1 Ni 0.000 0.000 0.000
Mo1 Mo 0.000 0.000 0.500
Os1 Os 0.000 0.500 0.250
```